Entry 1:
## Cd6AgPt2 (PBE)

Data for an optimized crystal structure of Cd6AgPt2.

Geometry as POSCAR:
```
Cd6AgPt2
1.0
4.941 0.000 0.000
0.000 8.118 0.000
-4.439 0.000 8.820
Cd Ag Pt
12 2 4
direct
0.010 0.162 0.063 Cd
0.010 0.338 0.563 Cd
0.383 0.525 0.310 Cd
0.383 0.975 0.810 Cd
0.396 0.177 0.417 Cd
0.396 0.323 0.917 Cd
0.604 0.677 0.083 Cd
0.604 0.823 0.583 Cd
0.617 0.025 0.190 Cd
0.617 0.475 0.690 Cd
0.990 0.662 0.437 Cd
0.990 0.838 0.937 Cd
0.000 0.000 0.500 Ag
0.000 0.500 0.000 Ag
0.176 0.635 0.760 Pt
0.176 0.865 0.260 Pt
0.824 0.135 0.740 Pt
0.824 0.365 0.240 Pt
```

Summary:
The value obtained for the total energy is -43.7 eV for the cell shown. The density of states at the Fermi level is 0.26 states/eV/atom. As for the volume: 353.8 Å³ per cell. Its formation energy from the elements is -158 meV/atom. The value obtained for the excess energy over the best structure of this formula in the dataset is 0.0105 eV/atom.

Entry 2:
## CaHoInI6 (PBE)

Data for an optimized crystal structure of CaHoInI6.

Geometry as POSCAR:
```
CaHoInI6
1.0
7.933 0.000 0.000
-3.966 6.870 0.000
0.000 0.000 15.261
Ca Ho In I
2 2 2 12
direct
0.333 0.667 0.250 Ca
0.667 0.333 0.750 Ca
0.333 0.667 0.750 Ho
0.667 0.333 0.250 Ho
0.000 0.000 0.000 In
0.000 0.000 0.500 In
0.011 0.368 0.634 I
0.011 0.643 0.866 I
0.357 0.368 0.866 I
0.357 0.989 0.634 I
0.368 0.011 0.134 I
0.368 0.357 0.366 I
0.632 0.643 0.634 I
0.632 0.989 0.866 I
0.643 0.011 0.366 I
0.643 0.632 0.134 I
0.989 0.357 0.134 I
0.989 0.632 0.366 I
```

Summary:
For the uncorrected formation energy, the calculation gives -1088.2 kJ/mol of formula units. The value obtained for the total energy is -59.8 eV for the cell shown. The density of states at the Fermi level is 0.00 states/eV/atom. As for the volume: 831.7 Å³ per cell.

Entry 3:
## Rb2MgTl2In (PBE)

Data for an optimized crystal structure of Rb2MgTl2In.

Geometry as POSCAR:
```
Rb2MgTl2In
1.0
-3.577 8.881 3.609
3.577 -8.881 3.609
3.577 8.881 -3.609
Rb Mg Tl In
4 2 4 2
direct
0.172 0.239 0.411 Rb
0.328 0.739 0.067 Rb
0.672 0.261 0.933 Rb
0.828 0.761 0.589 Rb
0.250 0.750 0.500 Mg
0.750 0.250 0.500 Mg
0.098 0.741 0.839 Tl
0.402 0.241 0.643 Tl
0.598 0.759 0.357 Tl
0.902 0.259 0.161 Tl
0.250 0.250 0.000 In
0.750 0.750 0.000 In
```

Summary:
The value obtained for the total energy is -22.8 eV for the cell shown. The density of states at the Fermi level is 0.60 states/eV/atom. As for the volume: 458.6 Å³ per cell. Its formation energy from the elements is -70 meV/atom.

Entry 4:
## AlNi2Sn2 (PBE)

Data for an optimized crystal structure of AlNi2Sn2.

Geometry as POSCAR:
```
AlNi2Sn2
1.0
7.752 0.000 0.000
0.000 7.752 0.000
0.000 0.000 2.945
Al Ni Sn
2 4 4
direct
0.000 0.000 0.000 Al
0.500 0.500 0.000 Al
0.126 0.374 0.500 Ni
0.374 0.874 0.500 Ni
0.626 0.126 0.500 Ni
0.874 0.626 0.500 Ni
0.164 0.664 0.000 Sn
0.336 0.164 0.000 Sn
0.664 0.836 0.000 Sn
0.836 0.336 0.000 Sn
```

Summary:
The value obtained for the total energy is -45.4 eV for the cell shown. The density of states at the Fermi level is 0.58 states/eV/atom. As for the volume: 176.9 Å³ per cell. Its formation energy from the elements is 123 meV/atom.

Entry 5:
## BaTe2As (PBE)

Data for an optimized crystal structure of BaTe2As.

Geometry as POSCAR:
```
BaTe2As
1.0
5.015 0.000 0.000
0.000 5.015 0.000
0.000 0.000 4.842
Ba Te As
1 2 1
direct
0.000 0.000 0.000 Ba
0.000 0.500 0.500 Te
0.500 0.000 0.500 Te
0.500 0.500 0.000 As
```

Summary:
For the uncorrected formation energy, the calculation gives -194.4 kJ/mol of formula units. The value obtained for the total energy is -14.9 eV for the cell shown. The density of states at the Fermi level is 0.42 states/eV/atom. As for the volume: 121.8 Å³ per cell.

Entry 6:
## ErPuIr2 (PBE)

Data for an optimized crystal structure of ErPuIr2.

Geometry as POSCAR:
```
ErPuIr2
1.0
4.965 0.000 0.000
0.000 4.965 0.000
0.000 0.000 3.225
Er Pu Ir
1 1 2
direct
0.000 0.000 0.000 Er
0.500 0.500 0.000 Pu
0.000 0.500 0.500 Ir
0.500 0.000 0.500 Ir
```

Summary:
The value obtained for the total energy is -39.1 eV for the cell shown. The density of states at the Fermi level is 2.19 states/eV/atom. As for the volume: 79.5 Å³ per cell. Its formation energy from the elements is -620 meV/atom. The value obtained for the excess energy over the best structure of this formula in the dataset is 0.0049 eV/atom.

Entry 7:
## Pa2Al3Cu4 (PBE)

Data for an optimized crystal structure of Pa2Al3Cu4.

Geometry as POSCAR:
```
Pa2Al3Cu4
1.0
2.805 -7.489 0.000
2.805 7.489 0.000
0.000 0.000 7.242
Pa Al Cu
4 6 8
direct
0.092 0.908 0.899 Pa
0.408 0.592 0.399 Pa
0.592 0.408 0.601 Pa
0.908 0.092 0.101 Pa
0.000 0.000 0.500 Al
0.011 0.489 0.750 Al
0.489 0.011 0.250 Al
0.500 0.500 0.000 Al
0.511 0.989 0.750 Al
0.989 0.511 0.250 Al
0.171 0.829 0.507 Cu
0.178 0.322 0.750 Cu
0.322 0.178 0.250 Cu
0.329 0.671 0.007 Cu
0.671 0.329 0.993 Cu
0.678 0.822 0.750 Cu
0.822 0.678 0.250 Cu
0.829 0.171 0.493 Cu
```

Summary:
The value obtained for the total energy is -95.8 eV for the cell shown. The density of states at the Fermi level is 1.05 states/eV/atom. As for the volume: 304.3 Å³ per cell. Its formation energy from the elements is -146 meV/atom.

Entry 8:
## NaTlIn3 (PBE)

Data for an optimized crystal structure of NaTlIn3.

Geometry as POSCAR:
```
NaTlIn3
1.0
5.564 0.000 0.000
0.000 5.564 0.000
0.000 0.000 5.564
Na Tl In
1 1 3
direct
0.000 0.000 0.000 Na
0.500 0.500 0.500 Tl
0.000 0.000 0.500 In
0.000 0.500 0.000 In
0.500 0.000 0.000 In
```

Summary:
The value obtained for the total energy is -9.8 eV for the cell shown. The density of states at the Fermi level is 0.45 states/eV/atom. As for the volume: 172.3 Å³ per cell. Its formation energy from the elements is 411 meV/atom. The value obtained for the excess energy over the best structure of this formula in the dataset is 0.4528 eV/atom.